A crystal of Ba2Mg relaxed with PBEsol. Source: Alexandria, functional SCAN.

Geometry as CIF:
```
data_Ba2Mg
_chemical_formula_sum 'Ba8 Mg4'
_cell_length_a 8.956
_cell_length_b 8.956
_cell_length_c 7.112
_cell_angle_alpha 90.00
_cell_angle_beta 90.00
_cell_angle_gamma 90.00
_symmetry_space_group_name_H-M 'I 4/m c m'
_symmetry_Int_Tables_number 140
_symmetry_space_group_name_Hall '-I 4 2c'
loop_
_atom_site_label
_atom_site_type_symbol
_atom_site_fract_x
_atom_site_fract_y
_atom_site_fract_z
_atom_site_occupancy
Ba1 Ba 0.168 0.332 0.000 1
Mg1 Mg 0.000 0.000 0.250 1
```

crystal system = tetragonal
E = -28.0003 eV per atom
mass density = 3.48 g/cm³
total magnetization = 0.059 μB/f.u.